This record from the Alexandria database describes crystalline MnTcPt2 at its relaxed geometry. The functional is GGA-PBE.

Summary:
The formation energy from the elements is -216 meV per atom. The value obtained for the offset from the most stable computed form is 0.008 eV per atom. The calculation puts the electronic total energy at -8.12 eV/atom. The density is 15.28 g/cm³. Its density of states at the Fermi level is 0.953 states/eV/atom.

POSCAR file:
```
MnTcPt2
1.0
2.7616 0.0000 0.0000
0.0000 3.9321 0.0000
0.0000 0.0000 5.4343
Mn Tc Pt
1 1 2
direct
0.0000 0.0000 0.0000 Mn
0.0000 0.0000 0.5000 Tc
0.5000 0.5000 0.2521 Pt
0.5000 0.5000 0.7479 Pt
```

---

This record from the Alexandria database describes crystalline MnTcPt2 at its relaxed geometry. The functional is GGA-PBE.

Summary:
The formation energy from the elements is -170 meV per atom. The value obtained for the offset from the most stable computed form is 0.054 eV per atom. The calculation puts the electronic total energy at -8.07 eV/atom. The density is 15.38 g/cm³. Its density of states at the Fermi level is 1.020 states/eV/atom.

POSCAR file:
```
MnTcPt2
1.0
-1.9406 1.9406 3.8926
1.9406 -1.9406 3.8926
1.9406 1.9406 -3.8926
Mn Tc Pt
1 1 2
direct
0.0000 0.0000 0.0000 Mn
0.7500 0.2500 0.5000 Tc
0.2500 0.7500 0.5000 Pt
0.5000 0.5000 0.0000 Pt
```

---

This record from the Alexandria database describes crystalline MnTc2Pt at its relaxed geometry. The functional is GGA-PBE.

Summary:
The formation energy from the elements is -72 meV per atom. The value obtained for the offset from the most stable computed form is 0.021 eV per atom. The calculation puts the electronic total energy at -9.06 eV/atom. The density is 12.88 g/cm³. Its density of states at the Fermi level is 1.037 states/eV/atom.

POSCAR file:
```
MnTc2Pt
1.0
2.7194 0.0000 0.0000
0.0000 3.8631 0.0000
0.0000 0.0000 5.4729
Mn Tc Pt
1 2 1
direct
0.0000 0.0000 0.0000 Mn
0.0000 0.0000 0.5206 Tc
0.5000 0.5000 0.7504 Tc
0.5000 0.5000 0.2459 Pt
```

---

This record from the Alexandria database describes crystalline MnTc2Pt at its relaxed geometry. The functional is GGA-PBE.

Summary:
The formation energy from the elements is -64 meV per atom. The value obtained for the offset from the most stable computed form is 0.030 eV per atom. The calculation puts the electronic total energy at -9.05 eV/atom. The density is 13.15 g/cm³. Its density of states at the Fermi level is 1.031 states/eV/atom.

POSCAR file:
```
MnTc2Pt
1.0
-1.8891 1.8891 3.9457
1.8891 -1.8891 3.9457
1.8891 1.8891 -3.9457
Mn Tc Pt
1 2 1
direct
0.0000 0.0000 0.0000 Mn
0.2500 0.7500 0.5000 Tc
0.7500 0.2500 0.5000 Tc
0.5000 0.5000 0.0000 Pt
```

---

This record from the Alexandria database describes crystalline MnTcPt6 at its relaxed geometry. The functional is GGA-PBE.

Summary:
The formation energy from the elements is -204 meV per atom. The calculation puts the electronic total energy at -7.18 eV/atom. The density is 17.93 g/cm³. Its density of states at the Fermi level is 0.938 states/eV/atom.

POSCAR file:
```
MnTcPt6
1.0
3.9407 0.0000 0.0000
0.0000 3.9407 0.0000
0.0000 0.0000 7.8926
Mn Tc Pt
1 1 6
direct
0.0000 0.0000 0.0000 Mn
0.0000 0.0000 0.5000 Tc
0.0000 0.5000 0.2535 Pt
0.0000 0.5000 0.7465 Pt
0.5000 0.0000 0.2535 Pt
0.5000 0.0000 0.7465 Pt
0.5000 0.5000 0.0000 Pt
0.5000 0.5000 0.5000 Pt
```

---

This record from the Alexandria database describes crystalline MnTcPt2 at its relaxed geometry. The functional is GGA-PBE.

Summary:
The formation energy from the elements is -215 meV per atom. The value obtained for the offset from the most stable computed form is 0.008 eV per atom. The calculation puts the electronic total energy at -8.12 eV/atom. The density is 15.12 g/cm³. Its density of states at the Fermi level is 0.848 states/eV/atom.

POSCAR file:
```
MnTcPt2
1.0
2.7693 0.0000 0.0000
0.0000 2.7693 0.0000
0.0000 0.0000 7.7786
Mn Tc Pt
1 1 2
direct
0.0000 0.0000 0.0000 Mn
0.0000 0.0000 0.5000 Tc
0.5000 0.5000 0.2498 Pt
0.5000 0.5000 0.7502 Pt
```

---

This record from the Alexandria database describes crystalline MnTcPt at its relaxed geometry. The functional is GGA-PBE.

Summary:
The formation energy from the elements is 18 meV per atom. The value obtained for the offset from the most stable computed form is 0.111 eV per atom. The calculation puts the electronic total energy at -8.51 eV/atom. The density is 13.13 g/cm³. Its density of states at the Fermi level is 1.017 states/eV/atom.

POSCAR file:
```
MnTcPt
1.0
8.7160 0.0000 0.0000
0.0000 2.7624 0.0000
0.0000 0.0000 7.3124
Mn Tc Pt
4 4 4
direct
0.1449 0.2500 0.2501 Mn
0.3551 0.7500 0.7501 Mn
0.6449 0.2500 0.2499 Mn
0.8551 0.7500 0.7499 Mn
0.1151 0.7500 0.5474 Tc
0.3849 0.2500 0.0474 Tc
0.6151 0.7500 0.9526 Tc
0.8849 0.2500 0.4526 Tc
0.1036 0.2500 0.8786 Pt
0.3964 0.7500 0.3786 Pt
0.6036 0.2500 0.6214 Pt
0.8964 0.7500 0.1214 Pt
```

---

This record from the Alexandria database describes crystalline Mn2TcPt at its relaxed geometry. The functional is GGA-PBE.

Summary:
The formation energy from the elements is 44 meV per atom. The value obtained for the offset from the most stable computed form is 0.168 eV per atom. The calculation puts the electronic total energy at -8.64 eV/atom. The density is 12.19 g/cm³. Its density of states at the Fermi level is 0.777 states/eV/atom.

POSCAR file:
```
Mn2TcPt
1.0
1.3587 0.7844 8.5857
-1.3587 0.7844 8.5857
0.0000 -1.5688 8.5857
Mn Tc Pt
2 1 1
direct
0.0000 0.0000 0.0000 Mn
0.2552 0.2552 0.2552 Mn
0.5124 0.5124 0.5124 Tc
0.7523 0.7523 0.7523 Pt
```